# 1
First-principles (GGA-PBE) data for a relaxed Zr3Ag crystal, as listed in Alexandria.

Values from the calculation:
- ΔE_f (eV per atom) = 1.68
- symmetry = No. 221

Unit cell a=5.237 b=5.237 c=5.237 alpha=90.00 beta=90.00 gamma=90.00
Atoms (fractional coordinates):
Zr1 0.000 0.000 0.500
Zr2 0.000 0.500 0.000
Zr3 0.500 0.000 0.000
Ag1 0.000 0.000 0.000

***

# 2
First-principles (GGA-PBE) data for a relaxed HoSc2In4 crystal, as listed in Alexandria.

Values from the calculation:
- ΔE_f (eV per atom) = -0.30
- symmetry = No. 139

Unit cell a=6.204 b=6.204 c=6.204 alpha=108.15 beta=108.15 gamma=112.14
Atoms (fractional coordinates):
Ho1 0.000 0.000 0.000
Sc1 0.000 0.500 0.500
Sc2 0.500 0.000 0.500
In1 0.000 0.000 0.500
In2 0.000 0.500 0.000
In3 0.500 0.000 0.000
In4 0.500 0.500 0.500

***

# 3
First-principles (GGA-PBE) data for a relaxed Li2MgNi crystal, as listed in Alexandria.

Values from the calculation:
- ΔE_f (eV per atom) = 0.02
- symmetry = No. 47

Unit cell a=3.043 b=4.334 c=4.598 alpha=90.00 beta=90.00 gamma=90.00
Atoms (fractional coordinates):
Li1 0.000 0.000 0.000
Li2 0.500 0.500 0.000
Mg1 0.000 0.500 0.500
Ni1 0.500 0.000 0.500

***

# 4
First-principles (GGA-PBE) data for a relaxed AgTe2Br2 crystal, as listed in Alexandria.

Values from the calculation:
- energy relative to the elements, uncorrected (kJ/mol of formula units) = 81
- symmetry = No. 139
- E above lowest polymorph (meV per atom) = 95

Unit cell a=9.938 b=9.938 c=9.938 alpha=155.96 beta=155.96 gamma=34.26
Atoms (fractional coordinates):
Ag1 0.000 0.000 0.000
Te1 0.250 0.750 0.500
Te2 0.750 0.250 0.500
Br1 0.419 0.419 0.000
Br2 0.581 0.581 0.000

***

# 5
First-principles (GGA-PBE) data for a relaxed Nd3Ru crystal, as listed in Alexandria.

Values from the calculation:
- ΔE_f (eV per atom) = -0.13
- symmetry = No. 5

Unit cell a=9.048 b=9.048 c=6.379 alpha=110.60 beta=110.60 gamma=82.91
Atoms (fractional coordinates):
Nd1 0.000 0.000 0.000
Nd2 0.000 0.284 0.642
Nd3 0.165 0.642 0.166
Nd4 0.358 0.047 0.501
Nd5 0.358 0.238 0.097
Nd6 0.358 0.450 0.642
Nd7 0.358 0.835 0.834
Nd8 0.550 0.642 0.358
Nd9 0.716 0.000 0.358
Nd10 0.716 0.284 0.000
Nd11 0.762 0.642 0.903
Nd12 0.953 0.642 0.499
Ru1 0.066 0.934 0.500
Ru2 0.067 0.351 0.209
Ru3 0.649 0.351 0.500
Ru4 0.649 0.933 0.791

***

# 6
First-principles (GGA-PBE) data for a relaxed Sn2BiRu2 crystal, as listed in Alexandria.

Values from the calculation:
- ΔE_f (eV per atom) = 0.29
- symmetry = No. 139
- E above lowest polymorph (meV per atom) = 238

Unit cell a=6.086 b=6.086 c=6.086 alpha=134.89 beta=134.89 gamma=65.70
Atoms (fractional coordinates):
Sn1 0.136 0.136 0.000
Sn2 0.864 0.864 0.000
Bi1 0.500 0.500 0.000
Ru1 0.250 0.750 0.500
Ru2 0.750 0.250 0.500

***

# 7
First-principles (GGA-PBE) data for a relaxed ZrCr2Os crystal, as listed in Alexandria.

Values from the calculation:
- ΔE_f (eV per atom) = 0.12
- symmetry = No. 71
- E above lowest polymorph (meV per atom) = 68

Unit cell a=5.133 b=5.133 c=5.133 alpha=144.98 beta=128.91 gamma=63.44
Atoms (fractional coordinates):
Zr1 0.000 0.000 0.000
Cr1 0.257 0.757 0.500
Cr2 0.743 0.243 0.500
Os1 0.500 0.500 0.000

***

# 8
First-principles (GGA-PBE) data for a relaxed AcY9Tm2 crystal, as listed in Alexandria.

Values from the calculation:
- ΔE_f (eV per atom) = 0.04
- symmetry = No. 123

Unit cell a=5.076 b=5.076 c=15.294 alpha=90.00 beta=90.00 gamma=90.00
Atoms (fractional coordinates):
Ac1 0.000 0.000 0.000
Y1 0.000 0.500 0.175
Y2 0.000 0.500 0.500
Y3 0.000 0.500 0.825
Y4 0.500 0.000 0.175
Y5 0.500 0.000 0.500
Y6 0.500 0.000 0.825
Y7 0.500 0.500 0.000
Y8 0.500 0.500 0.338
Y9 0.500 0.500 0.662
Tm1 0.000 0.000 0.337
Tm2 0.000 0.000 0.663

***

# 9
First-principles (GGA-PBE) data for a relaxed MnW2Se crystal, as listed in Alexandria.

Values from the calculation:
- energy relative to the elements, uncorrected (kJ/mol of formula units) = 464
- symmetry = No. 122

Unit cell a=7.390 b=7.390 c=7.390 alpha=140.54 beta=140.54 gamma=57.03
Atoms (fractional coordinates):
Mn1 0.000 0.000 0.000
Mn2 0.750 0.250 0.500
W1 0.084 0.625 0.959
W2 0.375 0.334 0.459
W3 0.666 0.125 0.041
W4 0.875 0.916 0.541
Se1 0.250 0.750 0.500
Se2 0.500 0.500 0.000

***

# 10
First-principles (GGA-PBE) data for a relaxed Er4NiSb crystal, as listed in Alexandria.

Values from the calculation:
- energy relative to the elements, uncorrected (kJ/mol of formula units) = -299
- symmetry = No. 11
- E above lowest polymorph (meV per atom) = 0

Unit cell a=5.989 b=6.500 c=8.500 alpha=90.00 beta=109.94 gamma=90.00
Atoms (fractional coordinates):
Er1 0.011 0.001 0.207
Er2 0.011 0.499 0.207
Er3 0.400 0.250 0.623
Er4 0.438 0.250 0.089
Er5 0.562 0.750 0.911
Er6 0.600 0.750 0.377
Er7 0.989 0.501 0.793
Er8 0.989 0.999 0.793
Ni1 0.251 0.750 0.065
Ni2 0.749 0.250 0.935
Sb1 0.208 0.750 0.548
Sb2 0.792 0.250 0.452

***

# 11
First-principles (GGA-PBE) data for a relaxed Cs3SmGe2O6 crystal, as listed in Alexandria.

Values from the calculation:
- energy relative to the elements, uncorrected (kJ/mol of formula units) = -2157
- symmetry = No. 164

Unit cell a=6.291 b=6.291 c=7.943 alpha=90.00 beta=90.00 gamma=120.00
Atoms (fractional coordinates):
Cs1 0.000 0.000 0.000
Cs2 0.333 0.667 0.705
Cs3 0.667 0.333 0.295
Sm1 0.000 0.000 0.500
Ge1 0.333 0.667 0.259
Ge2 0.667 0.333 0.741
O1 0.177 0.353 0.329
O2 0.177 0.823 0.329
O3 0.353 0.177 0.671
O4 0.647 0.823 0.329
O5 0.823 0.177 0.671
O6 0.823 0.647 0.671

***

# 12
First-principles (GGA-PBE) data for a relaxed CsKSiH6 crystal, as listed in Alexandria.

Values from the calculation:
- symmetry = No. 149

Unit cell a=5.838 b=5.838 c=5.397 alpha=90.00 beta=90.00 gamma=120.00
Atoms (fractional coordinates):
Cs1 0.000 0.000 0.000
K1 0.333 0.667 0.500
Si1 0.667 0.333 0.500
H1 0.444 0.108 0.675
H2 0.444 0.336 0.325
H3 0.664 0.108 0.325
H4 0.664 0.556 0.675
H5 0.892 0.336 0.675
H6 0.892 0.556 0.325

***

Listing raw total energy for the structures above in their given order: -5.44; -4.33; -2.79; -2.33; -6.03; -5.80; -9.63; -5.89; -8.44; -5.21; -5.72; -3.19 eV/atom.